No. 1
Sr2AlGa3Cu4 (PBE, optimized geometry); ΔH_f (0 K) = -0.29 eV/atom; Fermi-level density of states = 5.8 states/eV/f.u.; total magnetization = 0.00 μB per formula unit
1.0
4.291 0.000 0.000
0.000 4.291 0.000
0.000 0.000 10.507
Sr Al Ga Cu
2 1 3 4
direct
0.000 0.500 0.246 Sr
0.500 0.000 0.754 Sr
0.000 0.000 0.500 Al
0.000 0.500 0.879 Ga
0.500 0.000 0.121 Ga
0.500 0.500 0.500 Ga
0.000 0.000 0.000 Cu
0.000 0.500 0.632 Cu
0.500 0.000 0.368 Cu
0.500 0.500 0.000 Cu

No. 2
MgSi2Cl (PBE, optimized geometry); uncorrected formation energy = -0.11 eV/atom; Fermi-level density of states = 1.0 states/eV/f.u.; total magnetization = 0.00 μB per formula unit
1.0
-1.795 1.795 11.946
1.795 -1.795 11.946
1.795 1.795 -11.946
Mg Si Cl
2 4 2
direct
0.000 0.000 0.000 Mg
0.750 0.250 0.500 Mg
0.095 0.625 0.970 Si
0.375 0.345 0.470 Si
0.655 0.125 0.030 Si
0.875 0.905 0.530 Si
0.250 0.750 0.500 Cl
0.500 0.500 0.000 Cl

No. 3
AgSbNF2 (PBE, optimized geometry); uncorrected formation energy = 0.11 eV/atom; Fermi-level density of states = 3.1 states/eV/f.u.; total magnetization = 0.00 μB per formula unit
1.0
4.269 0.000 0.000
0.000 4.269 0.000
0.000 0.000 4.213
Ag Sb N F
1 1 1 2
direct
0.000 0.000 0.000 Ag
0.500 0.500 0.500 Sb
0.000 0.000 0.500 N
0.000 0.500 0.000 F
0.500 0.000 0.000 F

| no. | final energy (eV/atom) |
| --- | --- |
| 1 | -3.54 |
| 2 | -3.68 |
| 3 | -3.70 |